Entry from OQMD via LeMat-Bulk: a geometry-optimized Ta4CoSiC2 structure (PBE).

Properties
Space group ... P-6m2 (187)
Total magnetic moment ... 0.5 μB/f.u.
Energy ... -10.199 eV/atom

Cell: 3.1333 3.1333 12.7488 Å, 90.00 90.00 120.00°
Closest atoms and distances in Å follow each position.
Element x y z (fractional)
C (0.3333, 0.6667, 0.2531)  6 Ta 2.20-2.21
C (0.3333, 0.6667, 0.7469)  6 Ta 2.20-2.21
Co (0.6667, 0.3333, 0.5000)  6 Ta 2.63
Si (0.0000, 0.0000, 0.0000)  6 Ta 2.67
Ta (0.6667, 0.3333, 0.1542)  3 C 2.21
Ta (0.0000, 0.0000, 0.3507)  3 C 2.20
Ta (0.0000, 0.0000, 0.6493)  3 C 2.20
Ta (0.6667, 0.3333, 0.8458)  3 C 2.21


Entry from OQMD via LeMat-Bulk: a geometry-optimized PrNdAsBr structure (PBE).

Properties
Space group ... P-6m2 (187)
Total magnetic moment ... 0.0 μB/f.u.
Energy ... -5.406 eV/atom

Cell: 4.2215 4.2215 14.8485 Å, 90.00 90.00 120.00°
Closest atoms and distances in Å follow each position.
Element x y z (fractional)
As (0.6667, 0.3333, 0.2474)  3 Nd 2.88, 3 Pr 2.91
As (0.6667, 0.3333, 0.7526)  3 Nd 2.88, 3 Pr 2.91
Br (0.0000, 0.0000, 0.0000)  6 Nd 3.24
Br (0.3333, 0.6667, 0.5000)  6 Pr 3.25
Nd (0.3333, 0.6667, 0.1436)  3 As 2.88
Nd (0.3333, 0.6667, 0.8564)  3 As 2.88
Pr (0.0000, 0.0000, 0.3550)  3 As 2.91, 3 Br 3.25
Pr (0.0000, 0.0000, 0.6450)  3 As 2.91, 3 Br 3.25


Entry from OQMD via LeMat-Bulk: a geometry-optimized LiSn2Ir structure (PBE).

Properties
Space group ... F-43m (216)
Total magnetic moment ... 0.0 μB/f.u.
Energy ... -4.594 eV/atom

Cell: 4.7585 4.7585 4.7585 Å, 60.00 60.00 60.00°
Closest atoms and distances in Å follow each position.
Element x y z (fractional)
Ir (0.5000, 0.5000, 0.5000)  4 Sn 2.91, 4 Li 2.91
Li (0.7500, 0.7500, 0.7500)  4 Ir 2.91, 4 Sn 2.91
Sn (0.0000, 0.0000, 0.0000)  4 Sn 2.91, 4 Li 2.91
Sn (0.2500, 0.2500, 0.2500)  4 Sn 2.91, 4 Ir 2.91


Entry from OQMD via LeMat-Bulk: a geometry-optimized NbWSe4 structure (PBE).

Properties
Space group ... Amm2 (38)
Total magnetic moment ... 0.0 μB/f.u.
Energy ... -6.855 eV/atom

Cell: 3.4024 11.9835 11.9835 Å, 151.54 90.00 90.00°
Closest atoms and distances in Å follow each position.
Element x y z (fractional)
Nb (0.0000, 0.0851, 0.0851)  6 Se 2.59-2.62
Se (0.5000, 0.3195, 0.1723)  1 W 2.54, 2 Nb 2.59
Se (0.5000, 0.1723, 0.3195)  1 W 2.54, 2 Nb 2.59
Se (0.0000, 0.8081, 0.6671)  2 W 2.57, 1 Nb 2.62
Se (0.0000, 0.6671, 0.8081)  2 W 2.57, 1 Nb 2.62
W (0.5000, 0.5658, 0.5658)  6 Se 2.54-2.57


Entry from OQMD via LeMat-Bulk: a geometry-optimized Pa2Ta2O5 structure (PBE).

Properties
Distance to the lowest polymorph of the same formula ... 0.000 eV per atom
Space group ... P4/mmm (123)
Total magnetic moment ... 2.9 μB/f.u.

Cell: 7.1795 4.0759 4.0759 Å, 90.00 90.00 90.00°
Closest atoms and distances in Å follow each position.
Element x y z (fractional)
O (0.2471, 0.5000, 0.0000)  2 Ta 2.08
O (0.7529, 0.5000, 0.0000)  2 Ta 2.08
O (0.2471, 0.0000, 0.5000)  2 Ta 2.08
O (0.7529, 0.0000, 0.5000)  2 Ta 2.08
O (0.5000, 0.5000, 0.5000)  2 Ta 2.22
Pa (0.0000, 0.0000, 0.0000)  8 O 2.70
Pa (0.5000, 0.0000, 0.0000)  12 O 2.73-2.88
Ta (0.1907, 0.5000, 0.5000)  5 O 2.08-2.22
Ta (0.8093, 0.5000, 0.5000)  5 O 2.08-2.22


Entry from OQMD via LeMat-Bulk: a geometry-optimized LiCdAs structure (PBE).

Properties
Space group ... Cm (8)
Energy ... -2.973 eV/atom

Cell: 4.4526 4.4526 7.7112 Å, 106.79 106.79 60.00°
Closest atoms and distances in Å follow each position.
Element x y z (fractional)
As (0.3240, 0.3240, 0.0702)  4 Li 2.72-2.73, 4 Cd 2.72-2.73
As (0.8289, 0.8289, 0.5702)  4 Li 2.72-2.73, 4 Cd 2.73
Cd (0.6988, 0.6988, 0.1952)  4 As 2.72-2.73
Cd (0.2041, 0.2041, 0.6951)  4 As 2.73
Li (0.4543, 0.4543, 0.4453)  4 As 2.72-2.73
Li (0.9484, 0.9484, 0.9454)  4 As 2.72-2.73


Entry from OQMD via LeMat-Bulk: a geometry-optimized LiCd2Pt structure (PBE).

Properties
Distance to the lowest polymorph of the same formula ... 0.200 eV per atom
Space group ... P6_3/mmc (194)
Total magnetic moment ... 0.0 μB/f.u.

Cell: 4.5443 4.5443 8.2586 Å, 90.00 90.00 120.00°
Closest atoms and distances in Å follow each position.
Element x y z (fractional)
Cd (0.6667, 0.3333, 0.0876)  4 Cd 2.68-3.00, 3 Li 2.72, 4 Pt 2.79-2.95
Cd (0.6667, 0.3333, 0.4124)  4 Cd 2.68-3.00, 3 Li 2.72, 4 Pt 2.79-2.95
Cd (0.3333, 0.6667, 0.5876)  4 Cd 2.68-3.00, 3 Li 2.72, 4 Pt 2.79-2.95
Cd (0.3333, 0.6667, 0.9124)  4 Cd 2.68-3.00, 3 Li 2.72, 4 Pt 2.79-2.95
Li (0.0000, 0.0000, 0.0000)  6 Cd 2.72
Li (0.0000, 0.0000, 0.5000)  6 Cd 2.72
Pt (0.3333, 0.6667, 0.2500)  8 Cd 2.79-2.95
Pt (0.6667, 0.3333, 0.7500)  8 Cd 2.79-2.95


Entry from OQMD via LeMat-Bulk: a geometry-optimized RbTbSeO structure (PBE).

Properties
Distance to the lowest polymorph of the same formula ... 0.007 eV per atom
Space group ... C2 (5)
Total magnetic moment ... 0.0 μB/f.u.

Cell: 5.8546 5.8546 12.1047 Å, 90.00 104.30 90.00°
Closest atoms and distances in Å follow each position.
Element x y z (fractional)
O (0.2500, 0.1093, 0.0000)  4 Tb 2.30-2.31
O (0.7500, 0.1095, 0.0000)  4 Tb 2.30-2.31
O (0.7500, 0.6093, 0.0000)  4 Tb 2.30-2.31
O (0.2500, 0.6095, 0.0000)  4 Tb 2.30-2.31
Rb (0.9461, 0.1157, 0.3924)  4 Se 3.25-3.26
Rb (0.4468, 0.6146, 0.3924)  4 Se 3.25-3.26
Rb (0.5532, 0.1146, 0.6076)  4 Se 3.25-3.26
Rb (0.0539, 0.6157, 0.6076)  4 Se 3.25-3.26
Se (0.8841, 0.6157, 0.2712)  2 Tb 2.99-3.00, 1 O 3.18, 4 Rb 3.25-3.26
Se (0.3836, 0.1150, 0.2712)  2 Tb 3.00, 1 O 3.18, 4 Rb 3.25-3.26
Se (0.6164, 0.6150, 0.7288)  2 Tb 3.00, 1 O 3.18, 4 Rb 3.25-3.26
Se (0.1159, 0.1157, 0.7288)  2 Tb 2.99-3.00, 1 O 3.18, 4 Rb 3.25-3.26
Tb (0.5440, 0.3601, 0.0864)  4 O 2.30-2.31
Tb (0.0440, 0.8601, 0.0865)  4 O 2.30-2.31
Tb (0.9560, 0.3601, 0.9135)  4 O 2.30-2.31
Tb (0.4560, 0.8601, 0.9136)  4 O 2.30-2.31